Arrangement w

Below is a relaxed Er3PtC crystal, with properties calculated at the PBE level.

Mass density: 11.176 g cm⁻³
Magnetic moment: 0.00 μB/f.u.

a = 3.633 Å, b = 8.512 Å, c = 13.622 Å
α = 90.00°, β = 90.00°, γ = 90.00°
Fractional coordinates of all 20 atoms:
1 Er 0.250 0.313 0.805
2 Er 0.250 0.813 0.695
3 Er 0.750 0.824 0.467
4 Er 0.750 0.687 0.195
5 Er 0.250 0.001 0.106
6 Er 0.750 0.999 0.894
7 Er 0.750 0.187 0.305
8 Er 0.250 0.501 0.394
9 Er 0.750 0.324 0.033
10 Er 0.250 0.176 0.533
11 Er 0.750 0.499 0.606
12 Er 0.250 0.676 0.967
13 Pt 0.750 0.098 0.688
14 Pt 0.250 0.402 0.188
15 Pt 0.750 0.598 0.812
16 Pt 0.250 0.902 0.312
17 C 0.750 0.838 0.048
18 C 0.750 0.338 0.452
19 C 0.250 0.662 0.548
20 C 0.250 0.162 0.952

Arrangement x

Below is a relaxed Er3PtC crystal, with properties calculated at the PBE level.

Mass density: 11.007 g cm⁻³
Magnetic moment: 0.00 μB/f.u.

a = 4.747 Å, b = 4.747 Å, c = 4.747 Å
α = 90.00°, β = 90.00°, γ = 90.00°
Fractional coordinates of all 5 atoms:
1 Pt 0.500 0.500 0.500
2 C 0.000 0.000 0.000
3 Er 0.000 0.500 0.000
4 Er 0.500 0.000 0.000
5 Er 0.000 0.000 0.500

Which structure wins on stability? arrangement w wins.

Arrangement w

Below is a relaxed ErPu2C crystal, with properties calculated at the PBE level.

Mass density: 12.469 g cm⁻³
Magnetic moment: 0.00 μB/f.u.

a = 4.035 Å, b = 4.035 Å, c = 6.719 Å
α = 72.52°, β = 72.52°, γ = 60.00°
Fractional coordinates of all 4 atoms:
1 Er 0.500 0.500 0.500
2 C 0.000 0.000 0.000
3 Pu 0.651 0.651 0.047
4 Pu 0.349 0.349 0.953

Arrangement x

Below is a relaxed ErPu2C crystal, with properties calculated at the PBE level.

Mass density: 12.932 g cm⁻³
Magnetic moment: 10.55 μB/f.u.

a = 3.157 Å, b = 3.157 Å, c = 8.599 Å
α = 90.00°, β = 90.00°, γ = 90.00°
Site moments in Bohr magnetons follow the coordinates.
Fractional coordinates of all 4 atoms:
1 C 0.500 0.500 0.000  -0.22
2 Er 0.500 0.500 0.500  0.02
3 Pu 0.000 0.000 0.842  5.20
4 Pu 0.000 0.000 0.158  5.20

Which structure wins on stability? arrangement x wins.

Arrangement w

Below is a relaxed ErReC2 crystal, with properties calculated at the PBE level.

Mass density: 12.958 g cm⁻³
Magnetic moment: 0.00 μB/f.u.

a = 3.208 Å, b = 3.208 Å, c = 5.736 Å
α = 73.76°, β = 73.76°, γ = 60.00°
Fractional coordinates of all 4 atoms:
1 C 0.738 0.738 0.785
2 C 0.262 0.262 0.215
3 Re 0.000 0.000 0.000
4 Er 0.500 0.500 0.500

Arrangement x

Below is a relaxed ErReC2 crystal, with properties calculated at the PBE level.

Mass density: 12.506 g cm⁻³
Magnetic moment: 0.00 μB/f.u.

a = 3.314 Å, b = 5.607 Å, c = 10.791 Å
α = 90.00°, β = 90.00°, γ = 90.00°
Fractional coordinates of all 16 atoms:
1 Re 0.250 0.604 0.118
2 Re 0.750 0.896 0.618
3 Re 0.750 0.396 0.882
4 Re 0.250 0.104 0.382
5 C 0.250 0.348 0.253
6 C 0.250 0.848 0.247
7 C 0.250 0.778 0.516
8 C 0.250 0.278 0.984
9 C 0.750 0.152 0.753
10 C 0.750 0.652 0.747
11 C 0.750 0.722 0.016
12 C 0.750 0.222 0.484
13 Er 0.750 0.598 0.368
14 Er 0.250 0.902 0.868
15 Er 0.750 0.098 0.132
16 Er 0.250 0.402 0.632

Which structure wins on stability? arrangement x wins.

Arrangement w

Below is a relaxed ErCS crystal, with properties calculated at the PBE level.

Mass density: 6.740 g cm⁻³
Magnetic moment: 0.00 μB/f.u.

a = 4.964 Å, b = 3.874 Å, c = 7.079 Å
α = 93.77°, β = 90.00°, γ = 129.84°
Fractional coordinates of all 6 atoms:
1 S 0.653 0.306 0.355
2 S 0.347 0.694 0.645
3 C 0.799 0.597 0.154
4 C 0.201 0.403 0.846
5 Er 0.219 0.439 0.176
6 Er 0.781 0.561 0.824

Arrangement x

Below is a relaxed ErCS crystal, with properties calculated at the PBE level.

Mass density: 6.271 g cm⁻³
Magnetic moment: 0.00 μB/f.u.

a = 4.123 Å, b = 4.123 Å, c = 6.973 Å
α = 88.76°, β = 88.76°, γ = 70.81°
Fractional coordinates of all 6 atoms:
1 Er 0.838 0.838 0.763
2 Er 0.162 0.162 0.237
3 C 0.367 0.633 0.000
4 C 0.633 0.367 0.000
5 S 0.791 0.791 0.361
6 S 0.209 0.209 0.639

Which structure wins on stability? arrangement x wins.

Arrangement w

Below is a relaxed Er4CSe crystal, with properties calculated at the PBE level.

Mass density: 8.343 g cm⁻³
Magnetic moment: 0.84 μB/f.u.

a = 3.678 Å, b = 7.029 Å, c = 6.743 Å
α = 114.99°, β = 90.00°, γ = 105.17°
Site moments in Bohr magnetons follow the coordinates.
Fractional coordinates of all 6 atoms:
1 Er 0.386 0.771 0.762  0.12
2 Er 0.614 0.229 0.238  0.12
3 Er 0.875 0.749 0.176  0.20
4 Er 0.125 0.251 0.824  0.20
5 C 0.000 0.000 0.000  0.00
6 Se 0.500 0.000 0.500  0.00

Arrangement x

Below is a relaxed Er4CSe crystal, with properties calculated at the PBE level.

Mass density: 8.533 g cm⁻³
Magnetic moment: 0.00 μB/f.u.

a = 6.398 Å, b = 6.683 Å, c = 8.235 Å
α = 106.43°, β = 105.07°, γ = 108.45°
Fractional coordinates of all 12 atoms:
1 Er 0.283 0.017 0.625
2 Er 0.439 0.728 0.882
3 Er 0.561 0.272 0.118
4 Er 0.717 0.983 0.375
5 Er 0.158 0.392 0.375
6 Er 0.942 0.154 0.882
7 Er 0.842 0.608 0.625
8 Er 0.058 0.846 0.118
9 C 0.812 0.062 0.125
10 C 0.188 0.938 0.875
11 Se 0.322 0.572 0.144
12 Se 0.678 0.428 0.856

Which structure wins on stability? arrangement x wins.

Arrangement w

Below is a relaxed Er4CSe2 crystal, with properties calculated at the PBE level.

Mass density: 8.174 g cm⁻³
Magnetic moment: 0.19 μB/f.u.

a = 3.826 Å, b = 6.856 Å, c = 6.856 Å
α = 108.60°, β = 90.00°, γ = 90.00°
Fractional coordinates of all 7 atoms:
1 Se 0.500 0.000 0.500
2 Se 0.500 0.500 0.000
3 Er 0.500 0.793 0.793
4 Er 0.000 0.219 0.781
5 Er 0.000 0.781 0.219
6 Er 0.500 0.207 0.207
7 C 0.000 0.000 0.000

Arrangement x

Below is a relaxed Er4CSe2 crystal, with properties calculated at the PBE level.

Mass density: 7.409 g cm⁻³
Magnetic moment: 0.00 μB/f.u.

a = 4.418 Å, b = 4.418 Å, c = 10.127 Å
α = 77.40°, β = 77.40°, γ = 90.00°
Fractional coordinates of all 7 atoms:
1 Er 0.000 0.500 0.000
2 Er 0.325 0.325 0.351
3 Er 0.675 0.675 0.649
4 Er 0.500 0.000 0.000
5 Se 0.180 0.180 0.640
6 Se 0.820 0.820 0.360
7 C 0.000 0.000 0.000

Which structure wins on stability? arrangement w wins.

Arrangement w

Below is a relaxed Er4CSe3 crystal, with properties calculated at the PBE level.

Mass density: 7.321 g cm⁻³
Magnetic moment: 0.00 μB/f.u.

a = 5.581 Å, b = 8.461 Å, c = 8.818 Å
α = 90.00°, β = 90.00°, γ = 90.00°
Fractional coordinates of all 16 atoms:
1 Er 0.068 0.314 0.224
2 Er 0.586 0.183 0.000
3 Er 0.063 0.916 0.000
4 Er 0.068 0.314 0.776
5 Er 0.563 0.084 0.500
6 Er 0.568 0.686 0.276
7 Er 0.086 0.817 0.500
8 Er 0.568 0.686 0.724
9 C 0.521 0.814 0.500
10 C 0.021 0.186 0.000
11 Se 0.071 0.654 0.778
12 Se 0.571 0.346 0.722
13 Se 0.571 0.346 0.278
14 Se 0.567 0.861 0.000
15 Se 0.071 0.654 0.222
16 Se 0.067 0.139 0.500

Arrangement x

Below is a relaxed Er4CSe3 crystal, with properties calculated at the PBE level.

Mass density: 8.810 g cm⁻³
Magnetic moment: 0.00 μB/f.u.

a = 3.859 Å, b = 6.880 Å, c = 6.880 Å
α = 108.71°, β = 90.00°, γ = 90.00°
Fractional coordinates of all 8 atoms:
1 Er 0.500 0.222 0.778
2 Er 0.000 0.209 0.209
3 Er 0.000 0.791 0.791
4 Er 0.500 0.778 0.222
5 C 0.500 0.000 0.000
6 Se 0.500 0.500 0.500
7 Se 0.000 0.500 0.000
8 Se 0.000 0.000 0.500

Which structure wins on stability? arrangement x wins.

Arrangement w

Below is a relaxed Er6Sn2C crystal, with properties calculated at the PBE level.

Mass density: 8.679 g cm⁻³
Magnetic moment: 0.09 μB/f.u.

a = 4.944 Å, b = 6.834 Å, c = 8.254 Å
α = 114.45°, β = 107.44°, γ = 90.00°
Fractional coordinates of all 9 atoms:
1 Er 0.147 0.911 0.293
2 Er 0.853 0.089 0.707
3 Er 0.500 0.776 0.000
4 Er 0.500 0.224 0.000
5 Er 0.147 0.382 0.293
6 Er 0.853 0.618 0.707
7 Sn 0.669 0.669 0.338
8 Sn 0.331 0.331 0.662
9 C 0.000 0.000 0.000

Arrangement x

Below is a relaxed Er6Sn2C crystal, with properties calculated at the PBE level.

Mass density: 9.275 g cm⁻³
Magnetic moment: 0.00 μB/f.u.

a = 6.820 Å, b = 6.820 Å, c = 9.645 Å
α = 90.00°, β = 90.00°, γ = 90.00°
Fractional coordinates of all 18 atoms:
1 Er 0.746 0.254 0.000
2 Er 0.500 0.500 0.246
3 Er 0.254 0.746 0.000
4 Er 0.246 0.246 0.500
5 Er 0.754 0.246 0.500
6 Er 0.254 0.254 0.000
7 Er 0.000 0.000 0.254
8 Er 0.000 0.000 0.746
9 Er 0.246 0.754 0.500
10 Er 0.754 0.754 0.500
11 Er 0.746 0.746 0.000
12 Er 0.500 0.500 0.754
13 C 0.500 0.500 0.000
14 C 0.000 0.000 0.500
15 Sn 0.500 0.000 0.750
16 Sn 0.000 0.500 0.250
17 Sn 0.500 0.000 0.250
18 Sn 0.000 0.500 0.750

Which structure wins on stability? arrangement x wins.